Entry from Alexandria: crystalline AcHo10Tm4 at its relaxed geometry (PBE-GGA).

extended XYZ file:
```
15
Lattice="6.0017 0.0000 2.7100 3.0009 8.9792 1.3550 -0.6944 0.0000 9.5386" Properties=species:S:1:pos:R:3 pbc="T T T"
Ac 0.0000 0.0000 0.0000
Ho 2.6537 4.4896 6.1243
Ho 4.4066 3.7521 10.2549
Ho 5.9536 1.4464 6.8052
Ho 5.3466 7.5327 8.1494
Ho 6.9114 5.2271 4.7078
Ho 3.9016 5.2271 3.3488
Ho 5.6545 4.4896 7.4793
Ho 1.3969 3.7521 8.8958
Ho 2.9616 1.4464 5.4542
Ho 2.3546 7.5327 6.7985
Tm 5.0881 7.9766 4.7334
Tm 5.7199 6.7591 11.3349
Tm 2.5883 2.2200 2.2688
Tm 3.2201 1.0026 8.8703
```

Results
- Calculated density: 7.98 g/cm³
- SG: No. 87
- Total moment: 0.00 μB/f.u.
- Total DFT energy (no corrections): -3.980 eV per atom
- DOS at the Fermi energy: 29.62 states/eV/f.u.
- ΔE_f: 538 meV/atom